Below is a geometry-optimized PuHI2 structure, with properties calculated at the PBE level.

a = 4.0214 Å, b = 4.0214 Å, c = 24.1519 Å
α = 90.00°, β = 90.00°, γ = 120.00°
Space group R3m (No. 160, hexagonal axes)
Asymmetric unit:
Pu 0.0000 0.0000 0.0000 [3 per cell]
H 0.0000 0.0000 0.3333 [3 per cell]
I 0.0000 0.0000 0.5786 [3 per cell]
I 0.0000 0.0000 0.7547 [3 per cell]

The crystal system is trigonal. For the final energy, the calculation gives -6.0918 eV per atom.

Below is a geometry-optimized Sc2Fe2SiGeB structure, with properties calculated at the PBE level.

a = 10.288 Å, b = 3.915 Å, c = 6.449 Å
α = 90.00°, β = 128.66°, γ = 90.00°
Space group Cm (No. 8)
Asymmetric unit:
Sc 0.000 0.000 0.000 [2 per cell]
Sc 0.120 0.000 0.586 [2 per cell]
Fe 0.277 0.500 0.409 [2 per cell]
Fe 0.353 0.000 0.197 [2 per cell]
Si 0.401 0.000 0.590 [2 per cell]
Ge 0.213 0.500 0.990 [2 per cell]
B 0.064 0.500 0.298 [2 per cell]

The crystal system is monoclinic. For the final energy, the calculation gives -7.1606 eV per atom.